Ba2FePdO5: optimized geometry, GGA+U.

```
Ba2FePdO5
1.0
1.822 -7.463 0.000
1.822 7.463 0.000
0.000 0.000 10.589
Ba Fe Pd O
4 2 2 10
Direct
0.120 0.880 0.500 Ba
0.130 0.870 0.126 Ba
0.870 0.130 0.626 Ba
0.880 0.120 0.000 Ba
0.426 0.574 0.273 Fe
0.574 0.426 0.773 Fe
0.210 0.790 0.835 Pd
0.790 0.210 0.335 Pd
0.065 0.935 0.849 O
0.296 0.704 0.444 O
0.309 0.691 0.193 O
0.344 0.656 0.819 O
0.494 0.506 0.126 O
0.506 0.494 0.626 O
0.656 0.344 0.319 O
0.691 0.309 0.693 O
0.704 0.296 0.944 O
0.935 0.065 0.349 O
```

Values from the calculation:
Total DFT energy (no corrections) ... -108.9 eV per cell
Symmetry ... Cmc2_1, No. 36
Size of the total moment ... 10.1 μB per cell